An optimized crystal structure of CaScSe, computed with PBEsol.

Geometry as CIF:
```
data_CaScSe
_cell_length_a 3.4717
_cell_length_b 3.4717
_cell_length_c 12.0585
_cell_angle_alpha 90.00
_cell_angle_beta 90.00
_cell_angle_gamma 90.00
_symmetry_space_group_name_H-M 'I 4 m m'
_symmetry_Int_Tables_number 107
_symmetry_space_group_name_Hall 'I 4 -2'
loop_
_atom_site_label
_atom_site_type_symbol
_atom_site_fract_x
_atom_site_fract_y
_atom_site_fract_z
_atom_site_occupancy
Ca1 Ca 0.0000 0.0000 0.0000 1
Sc1 Sc 0.0000 0.0000 0.7196 1
Se1 Se 0.0000 0.0000 0.3307 1
```

Computed properties:
Crystal system: tetragonal
Distance to the lowest polymorph of the same formula in eV per atom: 0.092

***

An optimized crystal structure of YBeCu2, computed with PBEsol.

Geometry as CIF:
```
data_YBeCu2
_cell_length_a 3.9609
_cell_length_b 3.9609
_cell_length_c 13.7630
_cell_angle_alpha 90.00
_cell_angle_beta 90.00
_cell_angle_gamma 120.00
_symmetry_space_group_name_H-M 'R -3 m'
_symmetry_Int_Tables_number 166
_symmetry_space_group_name_Hall '-R 3 2"'
loop_
_atom_site_label
_atom_site_type_symbol
_atom_site_fract_x
_atom_site_fract_y
_atom_site_fract_z
_atom_site_occupancy
Y1 Y 0.0000 0.0000 0.0000 1
Be1 Be 0.0000 0.0000 0.5000 1
Cu1 Cu 0.0000 0.0000 0.2001 1
```

Computed properties:
Crystal system: trigonal

***

An optimized crystal structure of Zn2InBr, computed with PBEsol.

Geometry as CIF:
```
data_Zn2InBr
_cell_length_a 4.1888
_cell_length_b 4.1888
_cell_length_c 10.6295
_cell_angle_alpha 90.00
_cell_angle_beta 90.00
_cell_angle_gamma 90.00
_symmetry_space_group_name_H-M 'I 4/m m m'
_symmetry_Int_Tables_number 139
_symmetry_space_group_name_Hall '-I 4 2'
loop_
_atom_site_label
_atom_site_type_symbol
_atom_site_fract_x
_atom_site_fract_y
_atom_site_fract_z
_atom_site_occupancy
Zn1 Zn 0.0000 0.5000 0.2500 1
In1 In 0.0000 0.0000 0.0000 1
Br1 Br 0.0000 0.0000 0.5000 1
```

Computed properties:
Crystal system: tetragonal
Distance to the lowest polymorph of the same formula in eV per atom: 0.090

***

An optimized crystal structure of Sr2DyNbO6, computed with PBEsol.

Geometry as CIF:
```
data_Sr2DyNbO6
_cell_length_a 8.3490
_cell_length_b 8.3490
_cell_length_c 8.3490
_cell_angle_alpha 90.00
_cell_angle_beta 90.00
_cell_angle_gamma 90.00
_symmetry_space_group_name_H-M 'F m -3 m'
_symmetry_Int_Tables_number 225
_symmetry_space_group_name_Hall '-F 4 2 3'
loop_
_atom_site_label
_atom_site_type_symbol
_atom_site_fract_x
_atom_site_fract_y
_atom_site_fract_z
_atom_site_occupancy
Sr1 Sr 0.2500 0.2500 0.2500 1
Dy1 Dy 0.0000 0.0000 0.0000 1
Nb1 Nb 0.0000 0.0000 0.5000 1
O1 O 0.0000 0.0000 0.2616 1
```

Computed properties:
Crystal system: cubic

***

An optimized crystal structure of ReMoPt2, computed with PBEsol.

Geometry as CIF:
```
data_ReMoPt2
_cell_length_a 3.9405
_cell_length_b 3.9405
_cell_length_c 7.6163
_cell_angle_alpha 90.00
_cell_angle_beta 90.00
_cell_angle_gamma 90.00
_symmetry_space_group_name_H-M 'I -4 m 2'
_symmetry_Int_Tables_number 119
_symmetry_space_group_name_Hall 'I -4 -2'
loop_
_atom_site_label
_atom_site_type_symbol
_atom_site_fract_x
_atom_site_fract_y
_atom_site_fract_z
_atom_site_occupancy
Re1 Re 0.0000 0.0000 0.0000 1
Mo1 Mo 0.0000 0.5000 0.7500 1
Pt1 Pt 0.0000 0.0000 0.5000 1
Pt2 Pt 0.0000 0.5000 0.2500 1
```

Computed properties:
Crystal system: tetragonal
Distance to the lowest polymorph of the same formula in eV per atom: 0.000

***

An optimized crystal structure of Li2NbAlIr, computed with PBEsol.

Geometry as CIF:
```
data_Li2NbAlIr
_cell_length_a 4.1132
_cell_length_b 4.1132
_cell_length_c 4.9099
_cell_angle_alpha 90.00
_cell_angle_beta 90.00
_cell_angle_gamma 90.00
_symmetry_space_group_name_H-M 'P 4/m m m'
_symmetry_Int_Tables_number 123
_symmetry_space_group_name_Hall '-P 4 2'
loop_
_atom_site_label
_atom_site_type_symbol
_atom_site_fract_x
_atom_site_fract_y
_atom_site_fract_z
_atom_site_occupancy
Li1 Li 0.0000 0.5000 0.0000 1
Nb1 Nb 0.0000 0.0000 0.5000 1
Al1 Al 0.0000 0.0000 0.0000 1
Ir1 Ir 0.5000 0.5000 0.5000 1
```

Computed properties:
Crystal system: tetragonal

***

no.,E_tot (eV per cell)
1,-30.9
2,-60.3
3,-15.2
4,-324.8
5,-79.2
6,-23.4